Computed, not measured: Ba3Cr2O8 after structural relaxation at the PBE with a Hubbard U level of DFT.

## Properties
total magnetic moment = 2.00 μB/cell
VASP energy = -89.2 eV/cell

Unit cell a=7.954 b=7.971 c=7.970 alpha=43.06 beta=43.07 gamma=43.07
Element x y z (fractional)
Ba: 0.793 0.795 0.793
Ba: 0.207 0.207 0.205
Ba: 0.999 0.030 0.970
Cr: 0.593 0.594 0.592
Cr: 0.407 0.408 0.406
O: 0.673 0.635 0.707
O: 0.329 0.292 0.365
O: 0.272 0.283 0.754
O: 0.274 0.757 0.265
O: 0.757 0.282 0.265
O: 0.727 0.246 0.717
O: 0.725 0.735 0.243
O: 0.243 0.735 0.718